# 1
Entry from Alexandria via LeMat-Bulk: an optimized crystal structure of Ta2RuSe (GGA-PBE).

a b c (Å): 3.2456 3.2456 6.5102
angles (deg): 90.00 90.00 90.00
Atoms (fractional coordinates):
Ta 0.0000 0.0000 0.0000
Ta 0.5000 0.5000 0.2954
Ru 0.0000 0.0000 0.4925
Se 0.5000 0.5000 0.7940

Properties
total energy	-0.34170	hartree per atom
total magnetic moment	0.0	Bohr magnetons per cell
uncorrected formation energy	-182	meV per atom



# 2
Entry from Alexandria via LeMat-Bulk: an optimized crystal structure of NdTc2HgO8 (GGA-PBE).

a b c (Å): 6.3698 6.3698 8.0485
angles (deg): 90.00 90.00 120.00
Atoms (fractional coordinates):
Nd 0.0000 0.0000 0.0000
Tc 0.3333 0.6667 0.2297
Tc 0.6667 0.3333 0.7703
Hg 0.0000 0.0000 0.5000
O 0.1811 0.3641 0.1542
O 0.1830 0.8189 0.1542
O 0.3333 0.6667 0.4430
O 0.3641 0.1830 0.8458
O 0.6359 0.8170 0.1542
O 0.6667 0.3333 0.5570
O 0.8170 0.1811 0.8458
O 0.8189 0.6359 0.8458

Properties
total energy	-0.26245	hartree per atom
total magnetic moment	0.0	Bohr magnetons per cell
uncorrected formation energy	-1686	meV per atom



# 3
Entry from Alexandria via LeMat-Bulk: an optimized crystal structure of LaSm4Ho2Tm (GGA-PBE).

a b c (Å): 7.1997 7.2022 10.1750
angles (deg): 90.00 90.00 90.00
Atoms (fractional coordinates):
La 0.0000 0.0000 0.0000
La 0.5000 0.0000 0.5000
Sm 0.2495 0.2525 0.2505
Sm 0.2495 0.2525 0.7495
Sm 0.2495 0.7475 0.2505
Sm 0.2495 0.7475 0.7495
Sm 0.7505 0.2525 0.2505
Sm 0.7505 0.2525 0.7495
Sm 0.7505 0.7475 0.2505
Sm 0.7505 0.7475 0.7495
Ho 0.0000 0.5000 0.0000
Ho 0.5000 0.0000 0.0000
Ho 0.5000 0.5000 0.0000
Ho 0.5000 0.5000 0.5000
Tm 0.0000 0.0000 0.5000
Tm 0.0000 0.5000 0.5000

Properties
total energy	-0.17128	hartree per atom
DFT formation energy	18	meV per atom
total magnetic moment	0.0	Bohr magnetons per cell